(1)
Below is an optimized crystal structure of BeC2, with properties calculated at the GGA-PBE level.

Geometry as POSCAR:
```
BeC2
1.0
-0.6068 -3.4680 0.6454
0.4309 -0.1290 -3.5509
2.7673 1.3929 1.7926
Be C
1 2
Direct
0.0000 0.0000 0.0000 Be
0.3652 0.3652 0.0000 C
0.6348 0.6348 0.0000 C
```

The value obtained for the density of states at the Fermi level is 0.00 states/eV/atom. Its space group is I4/mmm, No. 139. The calculation puts the magnetic moment at 0.00 μB/f.u. The calculation puts the mass density at 1.589 Mg/m³. As for the energy of formation from the pure elements: 0.833 eV/atom.



(2)
Below is an optimized crystal structure of SrDyNpO6, with properties calculated at the GGA-PBE level.

Geometry as POSCAR:
```
SrDyNpO6
1.0
-0.9733 3.9110 4.2250
2.6995 -5.0268 1.2403
8.9656 4.3344 -1.9469
O Sr Dy Np
12 2 2 2
Direct
0.6174 0.6479 0.6431 O
0.6174 0.9696 0.8569 O
0.9696 0.6174 0.3569 O
0.0304 0.3826 0.6431 O
0.9696 0.3521 0.1431 O
0.0304 0.6479 0.8569 O
0.3826 0.3521 0.3569 O
0.3521 0.3826 0.8569 O
0.3521 0.9696 0.6431 O
0.3826 0.0304 0.1431 O
0.6479 0.6174 0.1431 O
0.6479 0.0304 0.3569 O
0.0000 0.0000 0.0000 Sr
0.0000 0.0000 0.5000 Sr
0.3333 0.6667 0.2500 Dy
0.6667 0.3333 0.7500 Dy
0.3333 0.6667 0.7500 Np
0.6667 0.3333 0.2500 Np
```

Its space group is P-31c, No. 163. The calculation puts the magnetic moment at 0.00 μB/f.u. The calculation puts the mass density at 6.464 Mg/m³. The uncorrected formation energy comes out at -3.0030 eV per atom.



(3)
Below is an optimized crystal structure of LaZrHgPb, with properties calculated at the GGA-PBE level.

Geometry as POSCAR:
```
LaZrHgPb
1.0
-1.4303 -5.1348 0.2557
2.5235 -3.3096 3.3401
-2.5162 -1.8568 4.3242
Hg Pb La Zr
1 1 1 1
Direct
0.7500 0.7500 0.7500 Hg
0.2500 0.2500 0.2500 Pb
0.0000 0.0000 0.0000 La
0.5000 0.5000 0.5000 Zr
```

The value obtained for the density of states at the Fermi level is 1.16 states/eV/atom. Its space group is F-43m, No. 216. The calculation puts the magnetic moment at 0.70 μB/f.u. The calculation puts the mass density at 9.858 Mg/m³. As for the energy of formation from the pure elements: -0.222 eV/atom.



(4)
Below is an optimized crystal structure of TmNbSn2, with properties calculated at the GGA-PBE level.

Geometry as POSCAR:
```
TmNbSn2
1.0
-1.2618 1.2645 2.6476
-1.5524 -1.8646 2.0771
8.6216 -2.0822 7.0300
Sn Tm Nb
2 1 1
Direct
0.9147 0.9147 0.2559 Sn
0.0853 0.0853 0.7441 Sn
0.5000 0.5000 0.5000 Tm
0.0000 0.0000 0.0000 Nb
```

The value obtained for the density of states at the Fermi level is 0.92 states/eV/atom. Its space group is R-3m, No. 166. The calculation puts the magnetic moment at 0.00 μB/f.u. The calculation puts the mass density at 8.404 Mg/m³. As for the energy of formation from the pure elements: 0.260 eV/atom.



(5)
Below is an optimized crystal structure of MgRe2W, with properties calculated at the GGA-PBE level.

Geometry as POSCAR:
```
MgRe2W
1.0
-1.0266 -1.3121 -2.2705
2.5482 0.0765 -1.1964
1.8024 -7.2505 3.3752
W Re Mg
1 2 1
Direct
0.0000 0.0000 0.4814 W
0.5000 0.5000 0.2381 Re
0.0000 0.0000 0.0212 Re
0.5000 0.5000 0.7593 Mg
```

The value obtained for the density of states at the Fermi level is 0.78 states/eV/atom. Its space group is P4mm, No. 99. The calculation puts the magnetic moment at 0.00 μB/f.u. The calculation puts the mass density at 14.828 Mg/m³. As for the energy of formation from the pure elements: 0.311 eV/atom.



(6)
Below is an optimized crystal structure of CeHoZr2, with properties calculated at the GGA-PBE level.

Geometry as POSCAR:
```
CeHoZr2
1.0
-3.4720 -0.7215 1.6129
-0.2702 -3.2976 -2.0567
3.0824 -3.4332 5.0995
Ce Zr Ho
1 2 1
Direct
0.5000 0.5000 0.5000 Ce
0.0000 0.0000 0.2828 Zr
0.0000 0.0000 0.7172 Zr
0.5000 0.5000 0.0000 Ho
```

The value obtained for the density of states at the Fermi level is 1.60 states/eV/atom. Its space group is P4/mmm, No. 123. The calculation puts the magnetic moment at 0.00 μB/f.u. The calculation puts the mass density at 7.756 Mg/m³. As for the energy of formation from the pure elements: 0.155 eV/atom.



(7)
Below is an optimized crystal structure of CaRe, with properties calculated at the GGA-PBE level.

Geometry as POSCAR:
```
CaRe
1.0
12.9149 0.0000 0.0000
0.0000 12.9149 0.0000
0.0000 0.0000 3.4984
Ca Re
8 8
Direct
0.7155 0.5455 0.0000 Ca
0.2155 0.0455 0.5000 Ca
0.9545 0.2155 0.5000 Ca
0.2845 0.4545 0.0000 Ca
0.7845 0.9545 0.5000 Ca
0.0455 0.7845 0.5000 Ca
0.4545 0.7155 0.0000 Ca
0.5455 0.2845 0.0000 Ca
0.2270 0.6950 0.0000 Re
0.7270 0.1950 0.5000 Re
0.3050 0.2270 0.0000 Re
0.7730 0.3050 0.0000 Re
0.8050 0.7270 0.5000 Re
0.2730 0.8050 0.5000 Re
0.6950 0.7730 0.0000 Re
0.1950 0.2730 0.5000 Re
```

The value obtained for the density of states at the Fermi level is 1.18 states/eV/atom. Its space group is I4/m, No. 87. The calculation puts the magnetic moment at 0.00 μB/f.u. The calculation puts the mass density at 5.152 Mg/m³. As for the energy of formation from the pure elements: 0.998 eV/atom.



(8)
Below is an optimized crystal structure of ScMo2P, with properties calculated at the GGA-PBE level.

Geometry as POSCAR:
```
ScMo2P
1.0
-2.0674 2.0674 3.6413
2.0674 -2.0674 3.6413
2.0674 2.0674 -3.6413
Sc P Mo
1 1 2
Direct
0.7500 0.2500 0.5000 Sc
0.5000 0.5000 0.0000 P
0.2500 0.7500 0.5000 Mo
0.0000 0.0000 0.0000 Mo
```

The value obtained for the density of states at the Fermi level is 0.44 states/eV/atom. Its space group is I-4m2, No. 119. The calculation puts the magnetic moment at 0.00 μB/f.u. The calculation puts the mass density at 7.144 Mg/m³. As for the energy of formation from the pure elements: -0.139 eV/atom.



(9)
Below is an optimized crystal structure of BeIr, with properties calculated at the GGA-PBE level.

Geometry as POSCAR:
```
BeIr
1.0
-2.4055 0.3085 -1.3075
1.2489 -2.4557 0.0257
-3.4471 -1.6909 5.9432
Ir Be
2 2
Direct
0.0000 0.0000 0.0000 Ir
0.0000 0.0000 0.5000 Ir
0.3333 0.6667 0.2500 Be
0.6667 0.3333 0.7500 Be
```

The value obtained for the density of states at the Fermi level is 0.60 states/eV/atom. Its space group is P6_3/mmc, No. 194. The calculation puts the magnetic moment at 0.00 μB/f.u. The calculation puts the mass density at 14.368 Mg/m³. As for the energy of formation from the pure elements: -0.428 eV/atom.



(10)
Below is an optimized crystal structure of Re2SiC, with properties calculated at the GGA-PBE level.

Geometry as POSCAR:
```
Re2SiC
1.0
4.5631 0.0000 0.0000
0.0000 4.5631 0.0000
2.2816 2.2816 5.9864
Re C Si
4 2 2
Direct
0.2125 0.6250 0.2500 Re
0.5375 0.1250 0.2500 Re
0.8750 0.7875 0.7500 Re
0.3750 0.4625 0.7500 Re
0.2500 0.7500 0.5000 C
0.5000 0.5000 0.0000 C
0.0000 0.0000 0.0000 Si
0.7500 0.2500 0.5000 Si
```

The value obtained for the density of states at the Fermi level is 0.29 states/eV/atom. Its space group is I-42d, No. 122. The calculation puts the magnetic moment at 0.00 μB/f.u. The calculation puts the mass density at 10.991 Mg/m³. The uncorrected formation energy comes out at 0.8495 eV per atom.



(11)
Below is an optimized crystal structure of CrRhW, with properties calculated at the GGA-PBE level.

Geometry as POSCAR:
```
CrRhW
1.0
4.7903 0.0211 -0.0054
2.5295 4.0680 0.0054
-3.2851 -2.7155 2.1866
Rh W Cr
1 1 1
Direct
0.3397 0.3397 0.0000 Rh
0.6634 0.6634 0.0000 W
0.9969 0.9969 0.0000 Cr
```

The value obtained for the density of states at the Fermi level is 1.04 states/eV/atom. Its space group is Imm2, No. 44. The calculation puts the magnetic moment at 0.50 μB/f.u. The calculation puts the mass density at 13.226 Mg/m³. As for the energy of formation from the pure elements: 0.120 eV/atom.



(12)
Below is an optimized crystal structure of Pr2ScTlO6, with properties calculated at the GGA-PBE level.

Geometry as POSCAR:
```
Pr2ScTlO6
1.0
5.7164 0.0000 -0.0340
0.0000 6.0136 0.0000
0.0017 0.0000 8.3689
Pr O Sc Tl
4 12 2 2
Direct
0.4807 0.4397 0.2530 Pr
0.0193 0.9397 0.2470 Pr
0.9807 0.0603 0.7530 Pr
0.5193 0.5603 0.7470 Pr
0.8152 0.7924 0.5725 O
0.3152 0.7076 0.0725 O
0.1268 0.4439 0.7374 O
0.7967 0.8139 0.9389 O
0.7033 0.3139 0.5611 O
0.3732 0.9439 0.7626 O
0.2033 0.1861 0.0611 O
0.2967 0.6861 0.4389 O
0.6268 0.0561 0.2374 O
0.1848 0.2076 0.4275 O
0.6848 0.2924 0.9275 O
0.8732 0.5561 0.2626 O
0.0000 0.5000 0.5000 Sc
0.5000 0.0000 0.0000 Sc
0.0000 0.5000 0.0000 Tl
0.5000 0.0000 0.5000 Tl
```

The value obtained for the density of states at the Fermi level is 0.00 states/eV/atom. Its space group is P2_1/c, No. 14. The calculation puts the magnetic moment at 0.00 μB/f.u. The calculation puts the mass density at 7.240 Mg/m³. The uncorrected formation energy comes out at -2.7037 eV per atom.